No. 1
Computed, not measured: a relaxed structure of DyHoGa at the PBE-GGA level of DFT.

```
DyHoGa
1.0
-2.959 1.003 -1.477
1.305 -0.736 -3.114
-1.473 -6.218 2.771
Ga Ho Dy
1 1 1
Cartesian
-1.361 -1.280 -2.185
-2.994 -5.599 -1.848
-1.209 -3.199 0.250
```

Summary:
energy above the lowest structure with this stoichiometry: 13 meV/atom
M_tot: 0.0 Bohr magnetons per cell

No. 2
Computed, not measured: a relaxed structure of Dy2Ho3Ga4 at the PBE-GGA level of DFT.

```
Dy2Ho3Ga4
1.0
-4.887 2.925 -4.598
-1.917 -7.656 0.703
-4.744 1.753 6.158
Ga Ho Dy
8 6 4
Cartesian
-6.530 2.135 4.375
-5.831 -0.926 -2.926
-5.717 -2.053 5.189
-6.877 2.822 -0.646
-4.561 -1.954 0.896
-4.672 -5.800 2.909
-6.988 -1.024 1.367
-5.019 -5.113 -2.112
-8.052 1.830 1.797
-3.402 -2.366 -1.948
-6.665 -3.078 -0.893
-3.497 -4.808 0.466
-3.331 -2.952 3.430
-4.884 0.100 3.156
-9.953 -2.080 1.311
-6.910 -3.764 2.831
-4.639 0.786 -0.568
-1.595 -0.898 0.952
```

Summary:
calculated total energy: -4.47 eV/atom
M_tot: 0.0 Bohr magnetons per cell

No. 3
Computed, not measured: a relaxed structure of DyHoGa2 at the PBE-GGA level of DFT.

```
DyHoGa2
1.0
-2.117 -2.229 -1.803
2.571 -2.468 0.031
-2.537 -2.565 6.149
Ga Ho Dy
2 1 1
Cartesian
-1.907 -1.928 4.622
-0.630 -0.637 1.527
0.227 -2.348 -0.886
-1.041 -3.631 2.188
```

Summary:
energy above the lowest structure with this stoichiometry: 45 meV/atom
M_tot: 0.0 Bohr magnetons per cell